Entry 1:
This record from Alexandria describes an optimized crystal structure of Sm2PaGe4Pt3. The functional is PBE-GGA.

Summary:
* formation energy from the elements: -764.2 meV per atom

Lattice parameters (Å, degrees): 4.288 4.288 11.505 90.00 90.00 90.00
Sites, in units of the cell vectors:
Sm 0.000 0.500 0.223
Sm 0.500 0.000 0.777
Pa 0.000 0.000 0.500
Ge 0.000 0.000 0.000
Ge 0.000 0.500 0.667
Ge 0.500 0.000 0.333
Ge 0.500 0.500 0.000
Pt 0.000 0.500 0.882
Pt 0.500 0.000 0.118
Pt 0.500 0.500 0.500



Entry 2:
This record from Alexandria describes an optimized crystal structure of PaCuH8Rh4. The functional is PBE-GGA.

Summary:
* E_tot: -71.531 eV per formula unit

Lattice parameters (Å, degrees): 5.518 5.518 5.518 63.93 63.93 63.93
Sites, in units of the cell vectors:
Pa 0.000 0.000 0.000
Cu 0.396 0.396 0.396
H 0.173 0.627 0.627
H 0.174 0.174 0.174
H 0.175 0.175 0.537
H 0.175 0.537 0.175
H 0.537 0.175 0.175
H 0.627 0.173 0.627
H 0.627 0.627 0.173
H 0.631 0.631 0.631
Rh 0.393 0.393 0.887
Rh 0.393 0.887 0.393
Rh 0.810 0.810 0.810
Rh 0.887 0.393 0.393



Entry 3:
This record from Alexandria describes an optimized crystal structure of ReAs2W. The functional is PBE-GGA.

Summary:
* formation energy from the elements: 989.0 meV per atom

Lattice parameters (Å, degrees): 6.705 6.705 6.705 128.81 128.81 75.32
Sites, in units of the cell vectors:
Re 0.000 0.000 0.000
Re 0.750 0.250 0.500
As 0.115 0.625 0.990
As 0.375 0.365 0.490
As 0.635 0.125 0.010
As 0.875 0.885 0.510
W 0.250 0.750 0.500
W 0.500 0.500 0.000



no.,spin magnetization (μB per atom)
1,0.000
2,0.001
3,0.323